1.
Ac2Pt4Au5: optimized geometry, PBE.

* uncorrected energy: -5.00 eV per atom
* DOS(E_F): 0.33 states/eV per atom
* M_tot: 0.00 μB/atom
* formation energy from the elements: -0.570 eV/atom

Geometry as CIF:
```
data_Ac2Pt4Au5
_cell_length_a 10.288
_cell_length_b 9.547
_cell_length_c 5.522
_cell_angle_alpha 81.38
_cell_angle_beta 66.57
_cell_angle_gamma 32.05
_symmetry_space_group_name_H-M 'P 1'
_symmetry_Int_Tables_number 1
loop_
_symmetry_equiv_pos_as_xyz
'x,y,z'
loop_
_atom_site_label
_atom_site_type_symbol
_atom_site_fract_x
_atom_site_fract_y
_atom_site_fract_z
_atom_site_occupancy
Ac1 Ac 0.134 0.134 0.866 1
Ac2 Ac 0.866 0.866 0.134 1
Pt1 Pt 0.211 0.534 0.466 1
Pt2 Pt 0.466 0.789 0.211 1
Pt3 Pt 0.534 0.211 0.789 1
Pt4 Pt 0.789 0.466 0.534 1
Au1 Au 0.000 0.000 0.500 1
Au2 Au 0.250 0.250 0.250 1
Au3 Au 0.500 0.500 0.000 1
Au4 Au 0.500 0.500 0.500 1
Au5 Au 0.750 0.750 0.750 1
```


2.
Ac2Pt2Au: optimized geometry, PBE.

* relative energy among the computed polymorphs: 11.5 kJ/mol of formula units
* uncorrected energy: -5.71 eV per atom
* DOS(E_F): 0.67 states/eV per atom
* M_tot: 0.00 μB/atom
* formation energy from the elements: -0.996 eV/atom

Geometry as CIF:
```
data_Ac2Pt2Au
_cell_length_a 6.331
_cell_length_b 6.331
_cell_length_c 11.709
_cell_angle_alpha 117.17
_cell_angle_beta 117.17
_cell_angle_gamma 40.75
_symmetry_space_group_name_H-M 'P 1'
_symmetry_Int_Tables_number 1
loop_
_symmetry_equiv_pos_as_xyz
'x,y,z'
loop_
_atom_site_label
_atom_site_type_symbol
_atom_site_fract_x
_atom_site_fract_y
_atom_site_fract_z
_atom_site_occupancy
Ac1 Ac 0.033 0.033 0.350 1
Ac2 Ac 0.185 0.185 0.100 1
Ac3 Ac 0.815 0.815 0.900 1
Ac4 Ac 0.967 0.967 0.650 1
Pt1 Pt 0.372 0.372 0.423 1
Pt2 Pt 0.454 0.454 0.109 1
Pt3 Pt 0.546 0.546 0.891 1
Pt4 Pt 0.628 0.628 0.577 1
Au1 Au 0.284 0.284 0.682 1
Au2 Au 0.716 0.716 0.318 1
```


3.
AcPtAu2: optimized geometry, PBE.

* relative energy among the computed polymorphs: 0.0 kJ/mol of formula units
* uncorrected energy: -4.94 eV per atom
* DOS(E_F): 0.32 states/eV per atom
* M_tot: 0.00 μB/atom
* formation energy from the elements: -0.760 eV/atom

Geometry as CIF:
```
data_AcPtAu2
_cell_length_a 16.445
_cell_length_b 7.886
_cell_length_c 5.704
_cell_angle_alpha 90.00
_cell_angle_beta 90.00
_cell_angle_gamma 90.00
_symmetry_space_group_name_H-M 'P 1'
_symmetry_Int_Tables_number 1
loop_
_symmetry_equiv_pos_as_xyz
'x,y,z'
loop_
_atom_site_label
_atom_site_type_symbol
_atom_site_fract_x
_atom_site_fract_y
_atom_site_fract_z
_atom_site_occupancy
Ac1 Ac 0.103 0.250 0.219 1
Ac2 Ac 0.142 0.750 0.462 1
Ac3 Ac 0.358 0.250 0.962 1
Ac4 Ac 0.397 0.750 0.719 1
Ac5 Ac 0.603 0.250 0.281 1
Ac6 Ac 0.642 0.750 0.038 1
Ac7 Ac 0.858 0.250 0.538 1
Ac8 Ac 0.897 0.750 0.781 1
Pt1 Pt 0.070 0.750 0.973 1
Pt2 Pt 0.183 0.250 0.709 1
Pt3 Pt 0.317 0.750 0.209 1
Pt4 Pt 0.430 0.250 0.473 1
Pt5 Pt 0.570 0.750 0.527 1
Pt6 Pt 0.683 0.250 0.791 1
Pt7 Pt 0.817 0.750 0.291 1
Pt8 Pt 0.930 0.250 0.027 1
Au1 Au 0.034 0.059 0.719 1
Au2 Au 0.034 0.441 0.719 1
Au3 Au 0.215 0.553 0.939 1
Au4 Au 0.215 0.947 0.939 1
Au5 Au 0.285 0.053 0.439 1
Au6 Au 0.285 0.447 0.439 1
Au7 Au 0.466 0.559 0.219 1
Au8 Au 0.466 0.941 0.219 1
Au9 Au 0.534 0.059 0.781 1
Au10 Au 0.534 0.441 0.781 1
Au11 Au 0.715 0.553 0.561 1
Au12 Au 0.715 0.947 0.561 1
Au13 Au 0.785 0.053 0.061 1
Au14 Au 0.785 0.447 0.061 1
Au15 Au 0.966 0.559 0.281 1
Au16 Au 0.966 0.941 0.281 1
```


4.
Ac3PtAu2: optimized geometry, PBE.

* relative energy among the computed polymorphs: 0.0 kJ/mol of formula units
* uncorrected energy: -5.09 eV per atom
* DOS(E_F): 0.43 states/eV per atom
* M_tot: 0.00 μB/atom
* formation energy from the elements: -0.935 eV/atom

Geometry as CIF:
```
data_Ac3PtAu2
_cell_length_a 7.755
_cell_length_b 7.755
_cell_length_c 7.890
_cell_angle_alpha 99.40
_cell_angle_beta 99.40
_cell_angle_gamma 119.80
_symmetry_space_group_name_H-M 'P 1'
_symmetry_Int_Tables_number 1
loop_
_symmetry_equiv_pos_as_xyz
'x,y,z'
loop_
_atom_site_label
_atom_site_type_symbol
_atom_site_fract_x
_atom_site_fract_y
_atom_site_fract_z
_atom_site_occupancy
Ac1 Ac 0.075 0.420 0.762 1
Ac2 Ac 0.232 0.232 0.233 1
Ac3 Ac 0.420 0.075 0.762 1
Ac4 Ac 0.580 0.925 0.238 1
Ac5 Ac 0.768 0.768 0.767 1
Ac6 Ac 0.925 0.580 0.238 1
Pt1 Pt 0.168 0.832 0.000 1
Pt2 Pt 0.832 0.168 0.000 1
Au1 Au 0.000 0.000 0.500 1
Au2 Au 0.339 0.661 0.500 1
Au3 Au 0.500 0.500 0.000 1
Au4 Au 0.661 0.339 0.500 1
```


5.
Ac4PtAu3: optimized geometry, PBE.

* relative energy among the computed polymorphs: 18.0 kJ/mol of formula units
* uncorrected energy: -4.90 eV per atom
* DOS(E_F): 0.55 states/eV per atom
* M_tot: 0.00 μB/atom
* formation energy from the elements: -0.864 eV/atom

Geometry as CIF:
```
data_Ac4PtAu3
_cell_length_a 6.391
_cell_length_b 6.391
_cell_length_c 6.391
_cell_angle_alpha 90.00
_cell_angle_beta 90.00
_cell_angle_gamma 90.00
_symmetry_space_group_name_H-M 'P 1'
_symmetry_Int_Tables_number 1
loop_
_symmetry_equiv_pos_as_xyz
'x,y,z'
loop_
_atom_site_label
_atom_site_type_symbol
_atom_site_fract_x
_atom_site_fract_y
_atom_site_fract_z
_atom_site_occupancy
Ac1 Ac 0.000 0.000 0.000 1
Ac2 Ac 0.000 0.500 0.500 1
Ac3 Ac 0.500 0.000 0.500 1
Ac4 Ac 0.500 0.500 0.000 1
Pt1 Pt 0.500 0.500 0.500 1
Au1 Au 0.000 0.000 0.500 1
Au2 Au 0.000 0.500 0.000 1
Au3 Au 0.500 0.000 0.000 1
```


6.
Ac2Pt15Au2: optimized geometry, PBE.

* uncorrected energy: -6.01 eV per atom
* DOS(E_F): 0.74 states/eV per atom
* M_tot: 0.00 μB/atom
* formation energy from the elements: -0.460 eV/atom

Geometry as CIF:
```
data_Ac2Pt15Au2
_cell_length_a 7.076
_cell_length_b 7.076
_cell_length_c 7.076
_cell_angle_alpha 84.06
_cell_angle_beta 84.06
_cell_angle_gamma 84.06
_symmetry_space_group_name_H-M 'P 1'
_symmetry_Int_Tables_number 1
loop_
_symmetry_equiv_pos_as_xyz
'x,y,z'
loop_
_atom_site_label
_atom_site_type_symbol
_atom_site_fract_x
_atom_site_fract_y
_atom_site_fract_z
_atom_site_occupancy
Ac1 Ac 0.158 0.158 0.158 1
Ac2 Ac 0.842 0.842 0.842 1
Pt1 Pt 0.000 0.500 0.500 1
Pt2 Pt 0.155 0.155 0.660 1
Pt3 Pt 0.155 0.660 0.155 1
Pt4 Pt 0.192 0.500 0.808 1
Pt5 Pt 0.192 0.808 0.500 1
Pt6 Pt 0.340 0.845 0.845 1
Pt7 Pt 0.500 0.000 0.500 1
Pt8 Pt 0.500 0.192 0.808 1
Pt9 Pt 0.500 0.500 0.000 1
Pt10 Pt 0.500 0.808 0.192 1
Pt11 Pt 0.660 0.155 0.155 1
Pt12 Pt 0.808 0.192 0.500 1
Pt13 Pt 0.808 0.500 0.192 1
Pt14 Pt 0.845 0.340 0.845 1
Pt15 Pt 0.845 0.845 0.340 1
Au1 Au 0.398 0.398 0.398 1
Au2 Au 0.602 0.602 0.602 1
```


7.
Ac3Pt7Au2: optimized geometry, PBE.

* uncorrected energy: -5.98 eV per atom
* DOS(E_F): 0.49 states/eV per atom
* M_tot: 0.00 μB/atom
* formation energy from the elements: -0.886 eV/atom

Geometry as CIF:
```
data_Ac3Pt7Au2
_cell_length_a 9.696
_cell_length_b 9.696
_cell_length_c 9.696
_cell_angle_alpha 33.82
_cell_angle_beta 33.82
_cell_angle_gamma 33.82
_symmetry_space_group_name_H-M 'P 1'
_symmetry_Int_Tables_number 1
loop_
_symmetry_equiv_pos_as_xyz
'x,y,z'
loop_
_atom_site_label
_atom_site_type_symbol
_atom_site_fract_x
_atom_site_fract_y
_atom_site_fract_z
_atom_site_occupancy
Ac1 Ac 0.000 0.000 0.000 1
Ac2 Ac 0.139 0.139 0.139 1
Ac3 Ac 0.861 0.861 0.861 1
Pt1 Pt 0.082 0.586 0.586 1
Pt2 Pt 0.414 0.414 0.918 1
Pt3 Pt 0.414 0.918 0.414 1
Pt4 Pt 0.500 0.500 0.500 1
Pt5 Pt 0.586 0.082 0.586 1
Pt6 Pt 0.586 0.586 0.082 1
Pt7 Pt 0.918 0.414 0.414 1
Au1 Au 0.333 0.333 0.333 1
Au2 Au 0.667 0.667 0.667 1
```


8.
AcPtAu3: optimized geometry, PBE.

* uncorrected energy: -4.54 eV per atom
* DOS(E_F): 0.45 states/eV per atom
* M_tot: 0.00 μB/atom
* formation energy from the elements: -0.546 eV/atom

Geometry as CIF:
```
data_AcPtAu3
_cell_length_a 6.807
_cell_length_b 6.807
_cell_length_c 5.787
_cell_angle_alpha 90.00
_cell_angle_beta 90.00
_cell_angle_gamma 120.00
_symmetry_space_group_name_H-M 'P 1'
_symmetry_Int_Tables_number 1
loop_
_symmetry_equiv_pos_as_xyz
'x,y,z'
loop_
_atom_site_label
_atom_site_type_symbol
_atom_site_fract_x
_atom_site_fract_y
_atom_site_fract_z
_atom_site_occupancy
Ac1 Ac 0.333 0.667 0.250 1
Ac2 Ac 0.667 0.333 0.750 1
Pt1 Pt 0.000 0.000 0.000 1
Pt2 Pt 0.000 0.000 0.500 1
Au1 Au 0.197 0.394 0.750 1
Au2 Au 0.197 0.803 0.750 1
Au3 Au 0.394 0.197 0.250 1
Au4 Au 0.606 0.803 0.750 1
Au5 Au 0.803 0.197 0.250 1
Au6 Au 0.803 0.606 0.250 1
```


9.
Ac5Pt2Au: optimized geometry, PBE.

* uncorrected energy: -5.26 eV per atom
* DOS(E_F): 1.10 states/eV per atom
* M_tot: 0.00 μB/atom
* formation energy from the elements: -0.768 eV/atom

Geometry as CIF:
```
data_Ac5Pt2Au
_cell_length_a 9.444
_cell_length_b 9.444
_cell_length_c 8.395
_cell_angle_alpha 116.30
_cell_angle_beta 116.30
_cell_angle_gamma 52.75
_symmetry_space_group_name_H-M 'P 1'
_symmetry_Int_Tables_number 1
loop_
_symmetry_equiv_pos_as_xyz
'x,y,z'
loop_
_atom_site_label
_atom_site_type_symbol
_atom_site_fract_x
_atom_site_fract_y
_atom_site_fract_z
_atom_site_occupancy
Ac1 Ac 0.000 0.500 0.500 1
Ac2 Ac 0.024 0.199 0.024 1
Ac3 Ac 0.199 0.024 0.524 1
Ac4 Ac 0.301 0.476 0.301 1
Ac5 Ac 0.476 0.301 0.801 1
Ac6 Ac 0.500 0.000 0.000 1
Ac7 Ac 0.524 0.699 0.199 1
Ac8 Ac 0.699 0.524 0.699 1
Ac9 Ac 0.801 0.976 0.476 1
Ac10 Ac 0.976 0.801 0.976 1
Pt1 Pt 0.136 0.364 0.865 1
Pt2 Pt 0.364 0.136 0.365 1
Pt3 Pt 0.636 0.864 0.635 1
Pt4 Pt 0.864 0.636 0.135 1
Au1 Au 0.250 0.750 0.750 1
Au2 Au 0.750 0.250 0.250 1
```


10.
Ac4PtAu2: optimized geometry, PBE.

* relative energy among the computed polymorphs: 114.1 kJ/mol of formula units
* uncorrected energy: -4.74 eV per atom
* DOS(E_F): 1.31 states/eV per atom
* M_tot: 0.00 μB/atom
* formation energy from the elements: -0.597 eV/atom

Geometry as CIF:
```
data_Ac4PtAu2
_cell_length_a 5.881
_cell_length_b 5.881
_cell_length_c 15.270
_cell_angle_alpha 90.00
_cell_angle_beta 90.00
_cell_angle_gamma 90.00
_symmetry_space_group_name_H-M 'P 1'
_symmetry_Int_Tables_number 1
loop_
_symmetry_equiv_pos_as_xyz
'x,y,z'
loop_
_atom_site_label
_atom_site_type_symbol
_atom_site_fract_x
_atom_site_fract_y
_atom_site_fract_z
_atom_site_occupancy
Ac1 Ac 0.000 0.000 0.200 1
Ac2 Ac 0.000 0.000 0.800 1
Ac3 Ac 0.000 0.500 0.000 1
Ac4 Ac 0.000 0.500 0.500 1
Ac5 Ac 0.500 0.000 0.000 1
Ac6 Ac 0.500 0.000 0.500 1
Ac7 Ac 0.500 0.500 0.300 1
Ac8 Ac 0.500 0.500 0.700 1
Pt1 Pt 0.000 0.000 0.000 1
Pt2 Pt 0.500 0.500 0.500 1
Au1 Au 0.000 0.000 0.400 1
Au2 Au 0.000 0.000 0.600 1
Au3 Au 0.500 0.500 0.100 1
Au4 Au 0.500 0.500 0.900 1
```